The following is a DFT calculation (PBEsol) of a relaxed structure of Na2ReSnBr.

Summary:
As for the space group: P4/mmm. Its raw formation energy is 0.804 eV/atom. The density is 4.1 Mg/m³. The calculation puts the density of states at the Fermi level at 2.9 states/eV per cell. The calculation puts the magnetic moment at 3.5 μB/f.u.

a = 5.848 Å, b = 5.848 Å, c = 5.068 Å
α = 90.00°, β = 90.00°, γ = 90.00°
Positions (direct):
Na  0.000  0.500  0.000
Na  0.500  0.000  0.000
Re  0.000  0.000  0.500
Sn  0.000  0.000  0.000
Br  0.500  0.500  0.500


The following is a DFT calculation (PBEsol) of a relaxed structure of NaRh2Br.

Summary:
As for the space group: Fm-3m. Its raw formation energy is 0.718 eV/atom. The density is 8.2 Mg/m³. The calculation puts the density of states at the Fermi level at 4.9 states/eV per cell. The calculation puts the magnetic moment at 1.6 μB/f.u.

a = 4.463 Å, b = 4.463 Å, c = 4.463 Å
α = 60.00°, β = 60.00°, γ = 60.00°
Positions (direct):
Na  0.000  0.000  0.000
Rh  0.250  0.250  0.250
Rh  0.750  0.750  0.750
Br  0.500  0.500  0.500


The following is a DFT calculation (PBEsol) of a relaxed structure of Na2TiRuBr.

Summary:
As for the space group: P4/mmm. Its raw formation energy is 1.429 eV/atom. The density is 2.9 Mg/m³. The calculation puts the density of states at the Fermi level at 8.1 states/eV per cell. The calculation puts the magnetic moment at 5.0 μB/f.u.

a = 5.785 Å, b = 5.785 Å, c = 4.698 Å
α = 90.00°, β = 90.00°, γ = 90.00°
Positions (direct):
Na  0.000  0.500  0.000
Na  0.500  0.000  0.000
Ti  0.000  0.000  0.000
Ru  0.500  0.500  0.500
Br  0.000  0.000  0.500


The following is a DFT calculation (PBEsol) of a relaxed structure of NaSb3Br.

Summary:
As for the space group: Pm-3m. Its raw formation energy is 0.789 eV/atom. The density is 5.1 Mg/m³. The calculation puts the density of states at the Fermi level at 8.9 states/eV per cell. The calculation puts the magnetic moment at 0.0 μB/f.u.

a = 5.347 Å, b = 5.347 Å, c = 5.347 Å
α = 90.00°, β = 90.00°, γ = 90.00°
Positions (direct):
Na  0.000  0.000  0.000
Sb  0.000  0.000  0.500
Sb  0.000  0.500  0.000
Sb  0.500  0.000  0.000
Br  0.500  0.500  0.500


The following is a DFT calculation (PBEsol) of a relaxed structure of NaSrSbBr2.

Summary:
As for the space group: P4/mmm. Its raw formation energy is -0.784 eV/atom. The density is 3.0 Mg/m³. The calculation puts the density of states at the Fermi level at 1.9 states/eV per cell. The calculation puts the magnetic moment at 2.0 μB/f.u.

a = 5.812 Å, b = 5.812 Å, c = 6.512 Å
α = 90.00°, β = 90.00°, γ = 90.00°
Positions (direct):
Na  0.000  0.000  0.000
Sr  0.500  0.500  0.500
Sb  0.500  0.500  0.000
Br  0.000  0.500  0.500
Br  0.500  0.000  0.500


The following is a DFT calculation (PBEsol) of a relaxed structure of Na3ScBr6.

Summary:
As for the space group: P-31c. Its raw formation energy is -1.610 eV/atom. The density is 3.3 Mg/m³. The calculation puts the density of states at the Fermi level at 0.0 states/eV per cell. The calculation puts the magnetic moment at 0.0 μB/f.u.

a = 7.254 Å, b = 7.254 Å, c = 12.938 Å
α = 90.00°, β = 90.00°, γ = 120.00°
Positions (direct):
Na  0.000  0.000  0.250
Na  0.000  0.000  0.750
Na  0.333  0.667  0.037
Na  0.333  0.667  0.463
Na  0.667  0.333  0.537
Na  0.667  0.333  0.963
Sc  0.333  0.667  0.750
Sc  0.667  0.333  0.250
Br  0.047  0.365  0.871
Br  0.047  0.682  0.629
Br  0.318  0.365  0.629
Br  0.318  0.953  0.871
Br  0.365  0.047  0.371
Br  0.365  0.318  0.129
Br  0.635  0.682  0.871
Br  0.635  0.953  0.629
Br  0.682  0.047  0.129
Br  0.682  0.635  0.371
Br  0.953  0.318  0.371
Br  0.953  0.635  0.129


The following is a DFT calculation (PBEsol) of a relaxed structure of NaSc2SeBr.

Summary:
As for the space group: P4/mmm. Its raw formation energy is -0.445 eV/atom. The density is 3.2 Mg/m³. The calculation puts the density of states at the Fermi level at 5.8 states/eV per cell. The calculation puts the magnetic moment at 2.0 μB/f.u.

a = 5.026 Å, b = 5.026 Å, c = 5.577 Å
α = 90.00°, β = 90.00°, γ = 90.00°
Positions (direct):
Na  0.000  0.000  0.000
Sc  0.000  0.500  0.500
Sc  0.500  0.000  0.500
Se  0.000  0.000  0.500
Br  0.500  0.500  0.000


The following is a DFT calculation (PBEsol) of a relaxed structure of NaScTiBr2.

Summary:
As for the space group: P4/mmm. Its raw formation energy is 0.230 eV/atom. The density is 2.7 Mg/m³. The calculation puts the density of states at the Fermi level at 7.1 states/eV per cell. The calculation puts the magnetic moment at 3.7 μB/f.u.

a = 5.082 Å, b = 5.082 Å, c = 6.505 Å
α = 90.00°, β = 90.00°, γ = 90.00°
Positions (direct):
Na  0.000  0.000  0.000
Sc  0.000  0.000  0.500
Ti  0.500  0.500  0.000
Br  0.000  0.500  0.500
Br  0.500  0.000  0.500


The following is a DFT calculation (PBEsol) of a relaxed structure of NaSeBr3.

Summary:
As for the space group: Pm-3m. Its raw formation energy is 0.162 eV/atom. The density is 3.7 Mg/m³. The calculation puts the density of states at the Fermi level at 7.9 states/eV per cell. The calculation puts the magnetic moment at 3.1 μB/f.u.

a = 5.350 Å, b = 5.350 Å, c = 5.350 Å
α = 90.00°, β = 90.00°, γ = 90.00°
Positions (direct):
Na  0.000  0.000  0.000
Se  0.500  0.500  0.500
Br  0.000  0.000  0.500
Br  0.000  0.500  0.000
Br  0.500  0.000  0.000


The following is a DFT calculation (PBEsol) of a relaxed structure of Na3SeBr.

Summary:
As for the space group: Pm-3m. Its raw formation energy is -0.886 eV/atom. The density is 2.6 Mg/m³. The calculation puts the magnetic moment at 0.0 μB/f.u.

a = 5.248 Å, b = 5.248 Å, c = 5.248 Å
α = 90.00°, β = 90.00°, γ = 90.00°
Positions (direct):
Na  0.000  0.000  0.500
Na  0.000  0.500  0.000
Na  0.500  0.000  0.000
Se  0.500  0.500  0.500
Br  0.000  0.000  0.000


The following is a DFT calculation (PBEsol) of a relaxed structure of NaSnSeBr2.

Summary:
As for the space group: P4/mmm. Its raw formation energy is -0.181 eV/atom. The density is 4.5 Mg/m³. The calculation puts the density of states at the Fermi level at 3.1 states/eV per cell. The calculation puts the magnetic moment at 0.9 μB/f.u.

a = 5.115 Å, b = 5.115 Å, c = 5.322 Å
α = 90.00°, β = 90.00°, γ = 90.00°
Positions (direct):
Na  0.000  0.000  0.000
Sn  0.500  0.500  0.500
Se  0.000  0.000  0.500
Br  0.000  0.500  0.000
Br  0.500  0.000  0.000


The following is a DFT calculation (PBEsol) of a relaxed structure of NaZrSeBr2.

Summary:
As for the space group: P4/mmm. Its raw formation energy is -0.036 eV/atom. The density is 4.7 Mg/m³. The calculation puts the density of states at the Fermi level at 4.6 states/eV per cell. The calculation puts the magnetic moment at 1.0 μB/f.u.

a = 4.866 Å, b = 4.866 Å, c = 5.294 Å
α = 90.00°, β = 90.00°, γ = 90.00°
Positions (direct):
Na  0.000  0.000  0.000
Zr  0.500  0.500  0.500
Se  0.000  0.000  0.500
Br  0.000  0.500  0.000
Br  0.500  0.000  0.000


The following is a DFT calculation (PBEsol) of a relaxed structure of NaSnBr2.

Summary:
As for the space group: I-42d. Its raw formation energy is -0.616 eV/atom. The density is 3.6 Mg/m³. The calculation puts the density of states at the Fermi level at 3.3 states/eV per cell. The calculation puts the magnetic moment at 0.0 μB/f.u.

a = 9.520 Å, b = 9.520 Å, c = 9.520 Å
α = 145.53°, β = 145.53°, γ = 49.55°
Positions (direct):
Na  0.000  0.000  0.000
Na  0.750  0.250  0.500
Sn  0.250  0.750  0.500
Sn  0.500  0.500  0.000
Br  0.118  0.625  0.993
Br  0.375  0.368  0.493
Br  0.632  0.125  0.007
Br  0.875  0.882  0.507